# Tb2Y2Ga4Au | Alexandria via LeMat-Bulk | PBE | optimized geometry
data_Tb2Y2Ga4Au
_space_group_name_H-M_alt 'I 4/m m m'
_space_group_IT_number 139
_space_group_name_Hall '-I 4 2'
_cell_length_a 7.065
_cell_length_b 7.065
_cell_length_c 8.869
_cell_angle_alpha 90.00
_cell_angle_beta 90.00
_cell_angle_gamma 90.00
loop_
_atom_site_label
_atom_site_type_symbol
_atom_site_fract_x
_atom_site_fract_y
_atom_site_fract_z
Tb1 Tb 0.000 0.000 0.186
Y1 Y 0.000 0.500 0.250
Ga1 Ga 0.247 0.247 0.000
Au1 Au 0.000 0.000 0.500
# - N(E_F): 7.60 states/eV/f.u.
# - Formation energy: -0.344 eV/atom